The following is a GGA-PBEsol calculation of a relaxed Li4Mn3O2F6 crystal, from Alexandria.

a b c (Å): 5.290 5.333 6.123
angles (deg): 69.59 86.26 79.19
Space group P-1 (No. 2)
Symmetry-distinct sites (fractional):
Li1 0.217 0.483 0.346 [2 per cell]
Li2 0.268 0.525 0.872 [2 per cell]
Mn1 0.000 0.000 0.000 [1 per cell]
Mn2 0.486 0.979 0.243 [2 per cell]
O1 0.350 0.771 0.060 [2 per cell]
F1 0.122 0.270 0.172 [2 per cell]
F2 0.144 0.310 0.684 [2 per cell]
F3 0.431 0.744 0.592 [2 per cell]

Output
- VASP energy (Ha/atom) = -0.2276

=====

The following is a GGA-PBEsol calculation of a relaxed Li2Mn4O5F3 crystal, from Alexandria.

a b c (Å): 10.388 5.891 5.759
angles (deg): 90.00 123.36 90.00
Space group Cm (No. 8)
Symmetry-distinct sites (fractional):
Li1 0.000 0.244 0.000 [4 per cell]
Mn1 0.145 0.500 0.640 [2 per cell]
Mn2 0.237 0.000 0.481 [2 per cell]
Mn3 0.251 0.000 0.998 [2 per cell]
Mn4 0.368 0.500 0.344 [2 per cell]
O1 0.027 0.000 0.270 [2 per cell]
O2 0.245 0.217 0.239 [4 per cell]
O3 0.259 0.214 0.754 [4 per cell]
F1 0.007 0.500 0.226 [2 per cell]
F2 0.480 0.000 0.728 [2 per cell]
F3 0.495 0.500 0.762 [2 per cell]

Output
- VASP energy (Ha/atom) = -0.2682

=====

The following is a GGA-PBEsol calculation of a relaxed LiMnOF2 crystal, from Alexandria.

a b c (Å): 4.889 5.125 8.314
angles (deg): 90.00 90.00 90.00
Space group Pnn2 (No. 34)
Symmetry-distinct sites (fractional):
Li1 0.000 0.000 0.000 [2 per cell]
Li2 0.000 0.500 0.401 [2 per cell]
Mn1 0.000 0.000 0.644 [2 per cell]
Mn2 0.000 0.500 0.809 [2 per cell]
O1 0.180 0.183 0.802 [4 per cell]
F1 0.228 0.164 0.471 [4 per cell]
F2 0.230 0.648 0.627 [4 per cell]

Output
- polymorph energy (0 for the lowest one) (meV/atom) = 15
- VASP energy (Ha/atom) = -0.2364

=====

Here are the calculated total magnetic moment numbers, same order: 15.0; 17.0; 4.0 (μB/f.u.).
Here are the calculated formation energy from raw total energies numbers, same order: -2.246; -1.941; -2.268 (eV/atom).